Here is a relaxed CsMn3Hg crystal from Alexandria via LeMat-Bulk. Energies are from GGA-PBE.

abc: 5.3374 5.3374 5.3374
angles: 90.00 90.00 90.00
Positions (direct):
Mn (0.0000, 0.0000, 0.5000)
Mn (0.0000, 0.5000, 0.0000)
Mn (0.5000, 0.0000, 0.0000)
Cs (0.5000, 0.5000, 0.5000)
Hg (0.0000, 0.0000, 0.0000)

- SG = Pm-3m, No. 221
- energy of formation from the pure elements (eV per formula unit) = 5.18
- offset from the most stable computed form (meV per atom) = 0.0
- energy (eV per atom) = -4.697